1.
# ThTl2F6, optimized geometry, DFT PBE
# - Total energy: -5.726 eV/atom
# - DOS(E_F): 0.0 states/eV/cell
# - M_tot: 0.00 μB/atom
data_ThTl2F6
_chemical_formula_sum 'Th2 Tl4 F12'
_cell_length_a 3.877
_cell_length_b 12.131
_cell_length_c 6.955
_cell_angle_alpha 90.00
_cell_angle_beta 90.00
_cell_angle_gamma 90.00
_symmetry_space_group_name_H-M 'A m m 2'
_symmetry_Int_Tables_number 38
_symmetry_space_group_name_Hall 'A 2 -2'
loop_
_atom_site_label
_atom_site_fract_x
_atom_site_fract_y
_atom_site_fract_z
Th1 0.000 0.000 0.000
Tl1 0.500 0.167 0.499
F1 0.000 0.000 0.670
F2 0.000 0.164 0.166
F3 0.500 0.000 0.219
F4 0.500 0.109 0.891


2.
# BeAlSe4, optimized geometry, DFT PBE
# - Total energy: -2.764 eV/atom
# - DOS(E_F): 11.4 states/eV/cell
# - M_tot: 0.00 μB/atom
data_BeAlSe4
_chemical_formula_sum 'Be4 Al4 Se16'
_cell_length_a 8.079
_cell_length_b 8.079
_cell_length_c 8.079
_cell_angle_alpha 90.00
_cell_angle_beta 90.00
_cell_angle_gamma 90.00
_symmetry_space_group_name_H-M 'F -4 3 m'
_symmetry_Int_Tables_number 216
_symmetry_space_group_name_Hall 'F -4 2 3'
loop_
_atom_site_label
_atom_site_fract_x
_atom_site_fract_y
_atom_site_fract_z
Be1 0.000 0.000 0.000
Al1 0.250 0.250 0.250
Se1 0.127 0.127 0.627